Entry 1:
## YAg4Rh (PBE)

Data for YAg4Rh after structural relaxation.

Results
Its crystal system is cubic. The value obtained for the formation energy is -0.0704 eV/atom. For the total magnetic moment, the calculation gives 0.00 μB/f.u. Its symmetry is F-43m. The value obtained for the density of states at the Fermi level is 3.12 states/eV/f.u. The volume is 19.10 A^3/atom.

abc: 5.452 5.452 5.452
angles: 60.00 60.00 60.00
Fractional positions:
Ag: 0.376 0.376 0.873
Ag: 0.376 0.376 0.376
Y: 0.000 0.000 0.000
Ag: 0.873 0.376 0.376
Ag: 0.376 0.873 0.376
Rh: 0.750 0.750 0.750



Entry 2:
## Ba5TiS8 (PBE)

Data for Ba5TiS8 after structural relaxation.

Results
Its crystal system is tetragonal. For the total magnetic moment, the calculation gives 2.03 μB/f.u. Its symmetry is I-4. The value obtained for the density of states at the Fermi level is 1.87 states/eV/f.u. The volume is 26.79 A^3/atom. As for the raw formation energy: -1.509 eV per atom.

abc: 7.869 7.869 7.869
angles: 109.04 110.34 109.04
Site moments in Bohr magnetons follow the coordinates.
Fractional positions:
Ba: 0.372 0.118 0.013  0.02
S: 0.130 0.715 0.004  0.05
Ba: 0.500 0.000 0.500  0.04
Ba: 0.987 0.359 0.106  0.02
S: 0.555 0.416 0.862  0.23
Ba: 0.747 0.641 0.628  0.02
S: 0.289 0.285 0.416  0.05
S: 0.584 0.874 0.870  0.05
Ba: 0.894 0.882 0.253  0.02
S: 0.861 0.307 0.445  0.23
S: 0.138 0.693 0.554  0.23
Ti: 0.250 0.500 0.750  -0.05
S: 0.996 0.126 0.711  0.05
S: 0.446 0.584 0.139  0.23



Entry 3:
## TbSc2Sn (PBE)

Data for TbSc2Sn after structural relaxation.

Results
Its crystal system is tetragonal. The value obtained for the formation energy is -0.2741 eV/atom. For the total magnetic moment, the calculation gives 0.00 μB/f.u. The value obtained for the excess energy over the best structure of this formula in the dataset is 189 meV/atom. Its symmetry is P4/mmm. The value obtained for the density of states at the Fermi level is 6.04 states/eV/f.u. The volume is 25.46 A^3/atom.

abc: 3.663 3.663 7.589
angles: 90.00 90.00 90.00
Fractional positions:
Sc: 0.000 0.000 0.219
Sn: 0.500 0.500 0.000
Sc: 0.000 0.000 0.781
Tb: 0.500 0.500 0.500



Entry 4:
## VH2Pd8 (PBE)

Data for VH2Pd8 after structural relaxation.

Results
Its crystal system is triclinic. For the total magnetic moment, the calculation gives 1.21 μB/f.u. The value obtained for the excess energy over the best structure of this formula in the dataset is 0 meV/atom. Its symmetry is P1. The value obtained for the density of states at the Fermi level is 7.76 states/eV/f.u. The volume is 12.94 A^3/atom.

abc: 4.886 4.899 6.871
angles: 118.39 89.95 99.12
Site moments in Bohr magnetons follow the coordinates.
Fractional positions:
H: 0.530 0.559 0.202  0.00
H: 0.645 0.245 0.649  0.00
V: 0.085 0.904 0.799  1.15
Pd: 0.408 0.903 0.459  0.02
Pd: 0.201 0.572 0.010  -0.04
Pd: 0.994 0.251 0.574  -0.03
Pd: 0.534 0.601 0.688  -0.03
Pd: 0.873 0.583 0.360  -0.02
Pd: 0.651 0.240 0.909  -0.01
Pd: 0.309 0.230 0.227  -0.01
Pd: 0.771 0.912 0.123  0.01



Entry 5:
## LiMoH4 (PBE)

Data for LiMoH4 after structural relaxation.

Results
Its crystal system is monoclinic. For the total magnetic moment, the calculation gives 0.00 μB/f.u. Its symmetry is C2/c. For the total energy, the calculation gives -4.352 eV per atom. The value obtained for the density of states at the Fermi level is 1.16 states/eV/f.u. The volume is 8.91 A^3/atom.

abc: 5.056 5.305 5.181
angles: 111.21 109.29 107.93
Fractional positions:
H: 0.601 0.058 0.318
H: 0.217 0.260 0.318
H: 0.399 0.942 0.682
H: 0.995 0.802 0.130
Mo: 0.248 0.998 0.996
Li: 0.610 0.360 0.721
H: 0.366 0.672 0.870
Li: 0.390 0.640 0.279
H: 0.005 0.198 0.870
H: 0.783 0.740 0.682
Mo: 0.752 0.002 0.004
H: 0.634 0.328 0.130



Entry 6:
## La3TbGe2C (PBE)

Data for La3TbGe2C after structural relaxation.

Results
Its crystal system is orthorhombic. The value obtained for the formation energy is -0.5630 eV/atom. For the total magnetic moment, the calculation gives 0.00 μB/f.u. Its symmetry is Immm. The value obtained for the density of states at the Fermi level is 2.24 states/eV/f.u. The volume is 27.62 A^3/atom.

abc: 4.851 4.951 8.764
angles: 106.41 106.07 90.00
Fractional positions:
La: 0.170 0.170 0.340
Ge: 0.634 0.634 0.269
La: 0.000 0.500 0.000
Ge: 0.366 0.366 0.731
La: 0.830 0.830 0.660
Tb: 0.500 0.000 0.000
C: 0.000 0.000 0.000



Entry 7:
## Cu4Pd3Au (PBE)

Data for Cu4Pd3Au after structural relaxation.

Results
Its crystal system is orthorhombic. The value obtained for the formation energy is 0.4079 eV/atom. For the total magnetic moment, the calculation gives 0.00 μB/f.u. The value obtained for the excess energy over the best structure of this formula in the dataset is 524 meV/atom. Its symmetry is Imm2. The value obtained for the density of states at the Fermi level is 3.51 states/eV/f.u. The volume is 18.90 A^3/atom.

abc: 6.398 6.398 6.398
angles: 77.14 119.35 137.09
Fractional positions:
Pd: 0.744 0.640 0.385
Cu: 0.663 0.878 0.540
Au: 0.105 0.500 0.605
Pd: 0.744 0.360 0.104
Cu: 0.207 0.248 0.959
Pd: 0.314 0.000 0.314
Cu: 0.663 0.122 0.785
Cu: 0.711 0.752 0.959



Entry 8:
## BeRe2Sn2 (PBE)

Data for BeRe2Sn2 after structural relaxation.

Results
Its crystal system is tetragonal. The value obtained for the formation energy is 1.1938 eV/atom. For the total magnetic moment, the calculation gives 0.47 μB/f.u. The value obtained for the excess energy over the best structure of this formula in the dataset is 771 meV/atom. Its symmetry is I4/mmm. The value obtained for the density of states at the Fermi level is 5.38 states/eV/f.u. The volume is 19.59 A^3/atom.

abc: 3.881 3.881 7.059
angles: 74.04 74.04 90.00
Site moments in Bohr magnetons follow the coordinates.
Fractional positions:
Be: 0.000 0.000 0.000  -0.01
Re: 0.593 0.593 0.813  0.22
Re: 0.407 0.407 0.187  0.22
Sn: 0.750 0.250 0.500  -0.01
Sn: 0.250 0.750 0.500  -0.01



Entry 9:
## Ac2PrPb2 (PBE)

Data for Ac2PrPb2 after structural relaxation.

Results
Its crystal system is monoclinic. The value obtained for the formation energy is -0.4553 eV/atom. For the total magnetic moment, the calculation gives 0.00 μB/f.u. The value obtained for the excess energy over the best structure of this formula in the dataset is 55 meV/atom. Its symmetry is C2/m. The value obtained for the density of states at the Fermi level is 4.64 states/eV/f.u. The volume is 37.54 A^3/atom.

abc: 5.067 7.291 11.214
angles: 78.81 76.94 69.67
Fractional positions:
Ac: 0.512 0.657 0.319
Pb: 0.031 0.826 0.112
Pb: 0.871 0.686 0.572
Pb: 0.969 0.174 0.888
Pr: 0.785 0.072 0.359
Ac: 0.318 0.273 0.092
Pb: 0.129 0.314 0.428
Pr: 0.215 0.928 0.641
Ac: 0.488 0.343 0.681
Ac: 0.682 0.727 0.908



Entry 10:
## Pm2HoBi (PBE)

Data for Pm2HoBi after structural relaxation.

Results
Its crystal system is trigonal. The value obtained for the formation energy is -0.1819 eV/atom. For the total magnetic moment, the calculation gives 0.83 μB/f.u. The value obtained for the excess energy over the best structure of this formula in the dataset is 212 meV/atom. Its symmetry is R3m. The value obtained for the density of states at the Fermi level is 5.16 states/eV/f.u. The volume is 35.40 A^3/atom.

abc: 4.125 4.125 9.902
angles: 77.98 77.98 60.00
Site moments in Bohr magnetons follow the coordinates.
Fractional positions:
Bi: 0.667 0.667 0.000  0.00
Pm: 0.071 0.071 0.786  0.14
Ho: 0.500 0.500 0.500  0.28
Pm: 0.262 0.262 0.214  0.02



Entry 11:
## La2MgBePd (PBE)

Data for La2MgBePd after structural relaxation.

Results
Its crystal system is tetragonal. The value obtained for the formation energy is 0.1490 eV/atom. For the total magnetic moment, the calculation gives 0.00 μB/f.u. Its symmetry is P4/mmm. The value obtained for the density of states at the Fermi level is 5.94 states/eV/f.u. The volume is 30.74 A^3/atom.

abc: 5.570 4.954 5.570
angles: 90.00 90.00 90.00
Fractional positions:
Pd: 0.000 0.000 0.000
Mg: 0.000 0.500 0.000
La: 0.000 0.000 0.500
La: 0.500 0.000 0.000
Be: 0.500 0.500 0.500



Entry 12:
## Ac2TiHN3 (PBE)

Data for Ac2TiHN3 after structural relaxation.

Results
Its crystal system is orthorhombic. For the total magnetic moment, the calculation gives 0.00 μB/f.u. Its symmetry is Immm. For the total energy, the calculation gives -7.508 eV per atom. The value obtained for the density of states at the Fermi level is 0.26 states/eV/f.u. The volume is 15.02 A^3/atom.

abc: 3.842 4.075 7.275
angles: 106.26 105.31 90.00
Fractional positions:
H: 0.500 0.000 0.000
Ti: 0.000 0.000 0.000
Ac: 0.353 0.353 0.707
N: 0.844 0.844 0.689
N: 0.000 0.500 0.000
N: 0.156 0.156 0.311
Ac: 0.647 0.647 0.293